Cs3LiV2F9 | GGA+U | relaxed

Structure (POSCAR):
```
Cs3LiV2F9
1.0
6.1294 0.0000 0.0000
-3.0647 5.3082 0.0000
0.0000 0.0000 7.5199
Cs Li V F
3 1 2 9
Direct
0.3333 0.6667 0.6530 Cs
0.0000 0.0000 0.0000 Cs
0.6667 0.3333 0.3470 Cs
0.0000 0.0000 0.5000 Li
0.3333 0.6667 0.1614 V
0.6667 0.3333 0.8386 V
0.8241 0.1759 0.6840 F
0.8241 0.6482 0.6840 F
0.3518 0.1759 0.6840 F
0.6482 0.8241 0.3160 F
0.1759 0.3518 0.3160 F
0.1759 0.8241 0.3160 F
0.5000 0.0000 0.0000 F
0.0000 0.5000 0.0000 F
0.5000 0.5000 0.0000 F
```

Results
Total DFT energy (no corrections) = -5.20 eV/atom
SG = No. 164